Below is a relaxed Tb5Ho4In crystal, with properties calculated at the GGA-PBE level.

The value obtained for the formation enthalpy at 0 K is 14.0 kJ/mol of formula units.

The structure belongs to space group P4/mmm (No. 123); the cell edges are 4.1053, 4.1053 and 18.2260 Å and the angles 90.00°, 90.00° and 90.00°. The asymmetric unit holds Tb at (0.0000, 0.0000, 0.0000), Tb at (0.0000, 0.0000, 0.2036), Tb at (0.0000, 0.0000, 0.4095), Ho at (0.5000, 0.5000, 0.1017), Ho at (0.5000, 0.5000, 0.3032) and In at (0.5000, 0.5000, 0.5000).